(1)
Compound: FeAg2Cl8
Source: Alexandria via LeMat-Bulk
Functional: PBE
Structure: optimized geometry

a b c (Å): 8.4076 6.5242 10.0862
angles (deg): 110.75 90.00 130.12
Positions (direct):
Ag  0.3022  0.6043  0.4082
Ag  0.6978  0.3957  0.5918
Cl  0.8763  0.7526  0.4927
Cl  0.9373  0.2428  0.1643
Cl  0.5037  0.0074  0.3297
Cl  0.1237  0.2474  0.5073
Cl  0.6946  0.7572  0.8357
Cl  0.0627  0.7572  0.8357
Cl  0.3054  0.2428  0.1643
Cl  0.4963  0.9926  0.6703
Fe  0.0000  0.0000  0.0000

Total magnetization in μB per atom: 0.2843
Formation energy from raw total energies in eV per atom: -0.35

(2)
Compound: Nd6DyHo8
Source: Alexandria via LeMat-Bulk
Functional: PBE
Structure: optimized geometry

a b c (Å): 6.1936 9.6710 9.6710
angles (deg): 120.00 90.00 90.00
Positions (direct):
Ho  0.8256  0.3333  0.6667
Ho  0.8109  0.0393  0.2721
Ho  0.8109  0.7279  0.7673
Ho  0.1891  0.9607  0.7279
Ho  0.1744  0.6667  0.3333
Ho  0.1891  0.2721  0.2327
Ho  0.8109  0.2327  0.9607
Ho  0.1891  0.7673  0.0393
Nd  0.3055  0.0887  0.4516
Nd  0.3055  0.5484  0.6371
Nd  0.6945  0.4516  0.3629
Nd  0.3055  0.3629  0.9113
Nd  0.6945  0.9113  0.5484
Nd  0.6945  0.6371  0.0887
Dy  0.5000  0.0000  0.0000

Energy relative to the elements in eV per atom: 0.167
Relative energy among the computed polymorphs in eV/f.u.: 0.693
Total magnetization in μB per atom: 0.0000

Question: Which formula does entry 1 have?
Answer: FeAg2Cl8